Here is a crystal of Al2FeCu relaxed with PBEsol from the Alexandria database. Energies are from meta-GGA SCAN.

Unit cell a=3.503 b=3.503 c=4.713 alpha=111.82 beta=111.82 gamma=90.00
Last column: magnetic moment on the atom in μB.
Atoms (fractional coordinates):
Fe  0.250  0.750  0.500  1.52
Cu  0.500  0.500  0.000  -0.07
Al  0.000  0.000  0.000  -0.04
Al  0.750  0.250  0.500  -0.03

Properties
uncorrected energy = -12.530 eV per atom
mass density = 5.85 g/cm³

***

Here is a crystal of Al2FeCu relaxed with PBEsol from the Alexandria database. Energies are from meta-GGA SCAN.

Unit cell a=3.026 b=3.869 c=4.798 alpha=112.99 beta=108.38 gamma=90.00
Last column: magnetic moment on the atom in μB.
Atoms (fractional coordinates):
Fe  0.250  0.756  0.501  1.47
Cu  0.504  0.499  0.008  -0.02
Al  0.988  0.983  0.976  -0.04
Al  0.758  0.262  0.515  -0.03

Properties
uncorrected energy = -12.492 eV per atom
mass density = 5.92 g/cm³

***

Here is a crystal of AlGa2FeCu relaxed with PBEsol from the Alexandria database. Energies are from meta-GGA SCAN.

Unit cell a=4.437 b=4.437 c=4.510 alpha=90.00 beta=90.00 gamma=90.00
Last column: magnetic moment on the atom in μB.
Atoms (fractional coordinates):
Al  0.500  0.500  0.500  0.01
Cu  0.000  0.000  0.500  0.14
Ga  0.000  0.500  0.000  -0.05
Ga  0.500  0.000  0.000  -0.05
Fe  0.000  0.000  0.000  1.98

Properties
uncorrected energy = -14.218 eV per atom
mass density = 5.35 g/cm³

***

Here is a crystal of NaAlFe2Cu relaxed with PBEsol from the Alexandria database. Energies are from meta-GGA SCAN.

Unit cell a=4.480 b=4.480 c=4.509 alpha=90.00 beta=90.00 gamma=90.00
Last column: magnetic moment on the atom in μB.
Atoms (fractional coordinates):
Na  0.500  0.500  0.500  -0.02
Fe  0.000  0.500  0.000  2.94
Fe  0.500  0.000  0.000  2.94
Cu  0.000  0.000  0.500  0.02
Al  0.000  0.000  0.000  -0.08

Properties
uncorrected energy = -11.826 eV per atom
mass density = 4.13 g/cm³

***

Here is a crystal of Sr2AlFeCu2O7 relaxed with PBEsol from the Alexandria database. Energies are from meta-GGA SCAN.

Unit cell a=5.257 b=5.318 c=11.942 alpha=102.85 beta=102.72 gamma=90.00
Last column: magnetic moment on the atom in μB.
Atoms (fractional coordinates):
Sr  0.660  0.636  0.296  0.00
Sr  0.364  0.364  0.704  0.00
Sr  0.160  0.161  0.296  0.00
Sr  0.864  0.839  0.704  0.00
Al  0.022  0.000  0.000  0.00
Al  0.521  0.500  0.000  0.00
Fe  0.724  0.183  0.500  3.99
Fe  0.225  0.817  0.500  3.99
Cu  0.080  0.560  0.118  -0.56
Cu  0.963  0.440  0.882  -0.56
Cu  0.581  0.058  0.118  0.57
Cu  0.463  0.942  0.882  0.57
O  0.860  0.852  0.500  0.33
O  0.360  0.148  0.500  0.33
O  0.756  0.375  0.109  0.00
O  0.647  0.625  0.891  0.00
O  0.257  0.235  0.109  0.00
O  0.147  0.765  0.891  0.00
O  0.399  0.735  0.110  0.00
O  0.288  0.265  0.890  0.00
O  0.899  0.877  0.110  0.00
O  0.788  0.123  0.890  0.00
O  0.702  0.199  0.346  0.20
O  0.357  0.801  0.654  0.20
O  0.202  0.647  0.346  0.20
O  0.857  0.353  0.654  0.20

Properties
uncorrected energy = -13.250 eV per atom
mass density = 5.21 g/cm³

***

Here is a crystal of Al2GaCu2 relaxed with PBEsol from the Alexandria database. Energies are from meta-GGA SCAN.

Unit cell a=2.682 b=7.285 c=7.285 alpha=90.00 beta=90.00 gamma=90.00
Atoms (fractional coordinates):
Cu  0.000  0.377  0.877
Cu  0.000  0.877  0.623
Cu  0.000  0.623  0.123
Cu  0.000  0.123  0.377
Ga  0.000  0.000  0.000
Ga  0.000  0.500  0.500
Al  0.500  0.174  0.674
Al  0.500  0.674  0.826
Al  0.500  0.826  0.326
Al  0.500  0.326  0.174

Properties
uncorrected energy = -12.559 eV per atom
mass density = 5.85 g/cm³

***

Here is a crystal of Al2GaCu2 relaxed with PBEsol from the Alexandria database. Energies are from meta-GGA SCAN.

Unit cell a=3.737 b=3.737 c=6.154 alpha=107.67 beta=107.67 gamma=90.00
Atoms (fractional coordinates):
Cu  0.395  0.395  0.790
Cu  0.605  0.605  0.210
Ga  0.000  0.000  0.000
Al  0.250  0.750  0.500
Al  0.750  0.250  0.500

Properties
uncorrected energy = -12.360 eV per atom
mass density = 5.37 g/cm³

***

Here is a crystal of AlGaCu2Se4 relaxed with PBEsol from the Alexandria database. Energies are from meta-GGA SCAN.

Unit cell a=5.564 b=5.564 c=6.780 alpha=114.22 beta=114.22 gamma=90.00
Atoms (fractional coordinates):
Ga  0.250  0.750  0.500
Se  0.376  0.369  0.248
Se  0.873  0.880  0.248
Se  0.120  0.624  0.752
Se  0.631  0.127  0.752
Cu  0.750  0.250  0.500
Cu  0.000  0.000  0.000
Al  0.500  0.500  0.000

Properties
uncorrected energy = -17.471 eV per atom
mass density = 5.24 g/cm³

***

Here is a crystal of SrAlGaCu2 relaxed with PBEsol from the Alexandria database. Energies are from meta-GGA SCAN.

Unit cell a=4.644 b=4.644 c=4.832 alpha=90.00 beta=90.00 gamma=90.00
Atoms (fractional coordinates):
Sr  0.500  0.500  0.500
Cu  0.000  0.500  0.000
Cu  0.500  0.000  0.000
Ga  0.000  0.000  0.000
Al  0.000  0.000  0.500

Properties
uncorrected energy = -15.221 eV per atom
mass density = 4.96 g/cm³

***

Here is a crystal of TaAlCuGe2 relaxed with PBEsol from the Alexandria database. Energies are from meta-GGA SCAN.

Unit cell a=4.794 b=4.934 c=4.934 alpha=90.00 beta=90.00 gamma=90.00
Atoms (fractional coordinates):
Ge  0.000  0.000  0.500
Ge  0.000  0.500  0.000
Al  0.500  0.500  0.500
Cu  0.500  0.000  0.000
Ta  0.000  0.000  0.000

Properties
uncorrected energy = -24.556 eV per atom
mass density = 5.93 g/cm³

***

Here is a crystal of AlCuH3 relaxed with PBEsol from the Alexandria database. Energies are from meta-GGA SCAN.

Unit cell a=3.492 b=3.492 c=3.492 alpha=90.00 beta=90.00 gamma=90.00
Atoms (fractional coordinates):
H  0.000  0.500  0.000
H  0.000  0.000  0.500
H  0.500  0.000  0.000
Al  0.000  0.000  0.000
Cu  0.500  0.500  0.500

Properties
uncorrected energy = -6.137 eV per atom
mass density = 3.65 g/cm³

***

Here is a crystal of Al2CuH2 relaxed with PBEsol from the Alexandria database. Energies are from meta-GGA SCAN.

Unit cell a=2.613 b=6.077 c=6.077 alpha=90.00 beta=90.00 gamma=90.00
Atoms (fractional coordinates):
H  0.000  0.387  0.887
H  0.000  0.887  0.613
H  0.000  0.613  0.113
H  0.000  0.113  0.387
Al  0.500  0.164  0.664
Al  0.500  0.664  0.836
Al  0.500  0.836  0.336
Al  0.500  0.336  0.164
Cu  0.000  0.000  0.000
Cu  0.000  0.500  0.500

Properties
uncorrected energy = -7.204 eV per atom
mass density = 4.11 g/cm³